# YGaSeBr2

A relaxed YGaSeBr2 crystal (GGA-PBEsol, the Alexandria database).

For the formation energy (no corrections), the calculation gives -1060 meV/atom. The total DFT energy (no corrections) is -4.610 eV/atom.

It has space group P4/mmm (No. 123), with a = 5.474 Å, b = 5.474 Å, c = 5.428 Å, α = 90.00°, β = 90.00° and γ = 90.00°. Symmetry generates all atoms from Y at (0.000, 0.000, 0.000), Ga at (0.500, 0.500, 0.500), Se at (0.000, 0.000, 0.500) and Br at (0.000, 0.500, 0.000).